Computed, not measured: ErNpMoO6 after structural relaxation at the PBE with a Hubbard U level of DFT.

Unit cell a=5.6395 b=5.6395 c=8.9215 alpha=90.00 beta=90.00 gamma=120.00
With the nearest neighbours (Å) after each atom.
Space group P-31c (No. 163)
Unique sites:
1 Er 0.3333 0.6667 0.2500  6 O 2.25
2 Np 0.3333 0.6667 0.7500  6 O 2.09
3 Mo 0.0000 0.0000 0.0000  6 O 2.20
4 O 0.0226 0.3448 0.6284  1 Np 2.09, 1 Mo 2.20, 1 Er 2.25

Calculated values
Calculated volume: 245.7 Å³/cell
DFT total energy: -8.664 eV per atom